Lu4Mo2Pb3C3, optimized geometry, DFT GGA-PBE; symmetry = C2/c, No. 15; E_tot = -82.89 eV/f.u.; size of the total moment = 0.00 μB/atom
1.0
-2.990 -5.082 0.033
0.270 -3.564 -4.690
10.911 -9.624 4.440
C Lu Mo Pb
6 8 4 6
Direct
0.500 0.000 0.000
0.807 0.346 0.000
0.193 0.654 0.000
0.346 0.807 0.500
0.000 0.500 0.500
0.654 0.193 0.500
0.815 0.962 0.087
0.129 0.305 0.087
0.695 0.871 0.413
0.038 0.185 0.413
0.962 0.815 0.587
0.305 0.129 0.587
0.871 0.695 0.913
0.185 0.038 0.913
0.479 0.659 0.069
0.341 0.521 0.431
0.659 0.479 0.569
0.521 0.341 0.931
0.418 0.271 0.249
0.114 0.886 0.250
0.729 0.582 0.251
0.271 0.418 0.749
0.886 0.114 0.750
0.582 0.729 0.751